Here is a geometry-optimized SrGaSb2 structure from the Alexandria database. Energies are from GGA-PBE.

Properties
* uncorrected energy: -3.7054 eV per atom
* crystal system: monoclinic
* space group: P2/c, No. 13
* raw formation energy: -0.47 eV/atom

Lattice parameters (Å, degrees): 6.8928 6.5958 11.3682 98.33 90.00 90.00
Last column: nearest neighbours and their distance in Å.
Fractional positions:
Sb 0.7125 0.0572 0.9355  2 Ga 2.72
Sb 0.7125 0.4428 0.5645  2 Ga 2.72
Sb 0.2685 0.0415 0.6696  2 Ga 2.70-2.86
Sb 0.7315 0.5415 0.1696  2 Ga 2.70-2.86
Sb 0.2685 0.4585 0.8304  2 Ga 2.70-2.86
Sb 0.2875 0.5572 0.4355  2 Ga 2.72
Sb 0.2875 0.9428 0.0645  2 Ga 2.72
Sb 0.7315 0.9585 0.3304  2 Ga 2.70-2.86
Sr 0.7630 0.5399 0.8701  6 Sb 3.39-3.54, 3 Ga 3.56-3.79
Sr 0.7630 0.9601 0.6299  6 Sb 3.39-3.54, 3 Ga 3.56-3.79
Sr 0.2370 0.0399 0.3701  6 Sb 3.39-3.54, 3 Ga 3.56-3.79
Sr 0.2370 0.4601 0.1299  6 Sb 3.39-3.54, 3 Ga 3.56-3.79
Ga 0.0967 0.4113 0.6147  4 Sb 2.70-2.86
Ga 0.0967 0.0887 0.8853  4 Sb 2.70-2.86
Ga 0.9033 0.9113 0.1147  4 Sb 2.70-2.86
Ga 0.9033 0.5887 0.3853  4 Sb 2.70-2.86


Here is a geometry-optimized SrGaSb2 structure from the Alexandria database. Energies are from GGA-PBE.

Properties
* uncorrected energy: -3.6704 eV per atom
* crystal system: tetragonal
* space group: I-42d, No. 122
* raw formation energy: -0.43 eV/atom

Lattice parameters (Å, degrees): 8.0593 8.0593 6.8618 54.04 54.04 90.00
Last column: nearest neighbours and their distance in Å.
Fractional positions:
Sb 0.1909 0.6250 0.2500  2 Ga 2.68
Sb 0.5591 0.1250 0.2500  2 Ga 2.68
Sb 0.3750 0.4409 0.7500  2 Ga 2.68
Sb 0.8750 0.8091 0.7500  2 Ga 2.68
Ga 0.5000 0.5000 0.0000  4 Sb 2.68
Ga 0.2500 0.7500 0.5000  4 Sb 2.68
Sr 0.7500 0.2500 0.5000  4 Sb 3.38
Sr 0.0000 0.0000 0.0000  4 Sb 3.38


Here is a geometry-optimized SrGa2Sb2 structure from the Alexandria database. Energies are from GGA-PBE.

Properties
* uncorrected energy: -3.5191 eV per atom
* crystal system: tetragonal
* space group: I4/mmm, No. 139
* raw formation energy: -0.32 eV/atom

Lattice parameters (Å, degrees): 4.5136 4.5136 7.8626 73.32 73.32 90.00
Last column: nearest neighbours and their distance in Å.
Fractional positions:
Sb 0.6133 0.6133 0.7734  4 Ga 2.99, 1 Sb 3.26
Sb 0.3867 0.3867 0.2266  4 Ga 2.99, 1 Sb 3.26
Sr 0.0000 0.0000 0.0000  8 Sb 3.58
Ga 0.2500 0.7500 0.5000  4 Sb 2.99, 4 Ga 3.19
Ga 0.7500 0.2500 0.5000  4 Sb 2.99, 4 Ga 3.19


Here is a geometry-optimized Sr5Ga2Sb structure from the Alexandria database. Energies are from GGA-PBE.

Properties
* uncorrected energy: -2.8675 eV per atom
* crystal system: tetragonal
* space group: I4/mcm, No. 140
* raw formation energy: -0.54 eV/atom

Lattice parameters (Å, degrees): 8.4949 8.4949 9.9059 115.39 115.39 90.00
Last column: nearest neighbours and their distance in Å.
Fractional positions:
Sr 0.9681 0.4681 0.2831  3 Ga 3.32-3.43, 2 Sb 3.58
Sr 0.5319 0.6850 0.7169  3 Ga 3.32-3.43, 2 Sb 3.58
Sr 0.8150 0.9681 0.2831  3 Ga 3.32-3.43, 2 Sb 3.58
Sr 0.0319 0.5319 0.7169  3 Ga 3.32-3.43, 2 Sb 3.58
Sr 0.5000 0.5000 0.0000  4 Ga 3.44, 8 Sr 3.85
Sr 0.6850 0.1850 0.7169  3 Ga 3.32-3.43, 2 Sb 3.58
Sr 0.3150 0.8150 0.2831  3 Ga 3.32-3.43, 2 Sb 3.58
Sr 0.4681 0.3150 0.2831  3 Ga 3.32-3.43, 2 Sb 3.58
Sr 0.1850 0.0319 0.7169  3 Ga 3.32-3.43, 2 Sb 3.58
Sr 0.0000 0.0000 0.0000  4 Ga 3.44, 8 Sr 3.85
Sb 0.7500 0.7500 0.5000  10 Sr 3.58-3.94
Sb 0.2500 0.2500 0.5000  10 Sr 3.58-3.94
Ga 0.6096 0.1096 0.0000  1 Ga 2.63
Ga 0.1096 0.3904 0.0000  1 Ga 2.63
Ga 0.8904 0.6096 0.0000  1 Ga 2.63
Ga 0.3904 0.8904 0.0000  1 Ga 2.63